# CrFeRu2

A relaxed structure of CrFeRu2 (PBE, the Alexandria database).

Structure (extended XYZ):
```
8
Lattice="3.6857 0.0000 0.0000 0.0000 3.6857 0.0000 1.8429 1.8429 8.4361" Properties=species:S:1:pos:R:3 pbc="T T T"
Fe 3.6857 1.8429 4.2181
Fe 0.0000 0.0000 0.0000
Ru 2.8068 0.9214 2.1090
Ru 2.7643 2.7218 6.3271
Ru 4.6072 4.6497 6.3271
Ru 0.8789 2.7643 2.1090
Cr 1.8429 1.8429 0.0000
Cr 1.8429 3.6857 4.2181
```

The value obtained for the calculated total energy is -8.4862 eV per atom. Its formation energy is 0.67 eV per atom. The space-group type is I-42d, No. 122. The size of the total moment comes out at 0.4 μB/f.u.



# CrFeRu2

A relaxed structure of CrFeRu2 (PBE, the Alexandria database).

Structure (extended XYZ):
```
4
Lattice="-0.0716 -2.2811 1.2710 0.8699 -0.1697 -2.4574 7.9666 1.2723 2.7323" Properties=species:S:1:pos:R:3 pbc="T T T"
Fe 6.3741 -0.2712 1.4561
Cr 2.3908 -0.9073 0.0899
Ru 3.9447 0.6300 1.3529
Ru 0.0386 0.0062 0.0132
```

The value obtained for the calculated total energy is -8.8867 eV per atom. Its formation energy is 0.27 eV per atom. The space-group type is Cmmm, No. 65. The size of the total moment comes out at 3.7 μB/f.u.



# Cr3FeRu

A relaxed structure of Cr3FeRu (PBE, the Alexandria database).

Structure (extended XYZ):
```
5
Lattice="4.3548 0.0000 0.0000 0.0000 4.3548 0.0000 0.0000 0.0000 4.3548" Properties=species:S:1:pos:R:3 pbc="T T T"
Fe 2.1774 2.1774 2.1774
Ru 0.0000 0.0000 0.0000
Cr 0.0000 2.1774 0.0000
Cr 2.1774 0.0000 0.0000
Cr 0.0000 0.0000 2.1774
```

The energy above the most stable polymorph in this dataset is 349 kJ/mol of formula units. The value obtained for the calculated total energy is -7.4135 eV per atom. Its formation energy is 1.91 eV per atom. The space-group type is Pm-3m, No. 221. The size of the total moment comes out at 0.0 μB/f.u.



# Cr2FeRu

A relaxed structure of Cr2FeRu (PBE, the Alexandria database).

Structure (extended XYZ):
```
4
Lattice="-1.6379 -3.2061 -1.7944 0.5362 -1.4260 2.0583 -4.0157 0.4789 2.8098" Properties=species:S:1:pos:R:3 pbc="T T T"
Cr -0.0218 -0.0215 0.0584
Cr -1.7179 -0.4520 2.3756
Fe -1.6888 -1.8398 0.3198
Ru -3.4285 -2.3133 2.7538
```

The energy above the most stable polymorph in this dataset is 26 kJ/mol of formula units. The value obtained for the calculated total energy is -9.0650 eV per atom. Its formation energy is 0.18 eV per atom. The space-group type is P2/m, No. 10. The size of the total moment comes out at 2.9 μB/f.u.



# Cr2FeRu

A relaxed structure of Cr2FeRu (PBE, the Alexandria database).

Structure (extended XYZ):
```
4
Lattice="-1.6452 -3.7691 -0.2246 0.9446 -2.4747 -3.1538 2.3603 -3.3176 0.6209" Properties=species:S:1:pos:R:3 pbc="T T T"
Cr 1.2448 -7.1710 -2.0682
Cr 0.0000 0.0000 0.0000
Ru 0.4149 -2.3903 -0.6894
Fe 0.8298 -4.7807 -1.3788
```

The energy above the most stable polymorph in this dataset is 11 kJ/mol of formula units. The value obtained for the calculated total energy is -9.1030 eV per atom. Its formation energy is 0.14 eV per atom. The space-group type is F-43m, No. 216. The size of the total moment comes out at 3.2 μB/f.u.



# Cr2FeRu

A relaxed structure of Cr2FeRu (PBE, the Alexandria database).

Structure (extended XYZ):
```
4
Lattice="4.4379 -0.0124 0.0000 -1.4034 4.2102 0.0000 0.0000 0.0000 2.6148" Properties=species:S:1:pos:R:3 pbc="T T T"
Cr 1.5172 2.0989 0.0000
Cr 0.0000 0.0000 0.0000
Ru -0.7017 2.1051 1.3074
Fe 2.2190 -0.0062 1.3074
```

The energy above the most stable polymorph in this dataset is 15 kJ/mol of formula units. The value obtained for the calculated total energy is -9.0928 eV per atom. Its formation energy is 0.15 eV per atom. The space-group type is Cmmm, No. 65. The size of the total moment comes out at 0.7 μB/f.u.



# CrFe2Ru2

A relaxed structure of CrFe2Ru2 (PBE, the Alexandria database).

Structure (extended XYZ):
```
10
Lattice="-5.4832 0.7188 4.2790 -1.7684 -6.6672 -1.1461 1.4827 -0.7413 2.0245" Properties=species:S:1:pos:R:3 pbc="T T T"
Fe -1.3652 -4.7070 0.9674
Fe -1.3740 -1.2563 2.2372
Fe -4.4036 -1.9827 4.1901
Fe -4.3948 -5.4334 2.9202
Ru -5.8869 -3.5701 3.0043
Ru -3.6796 -0.4100 2.5447
Ru -3.5720 -5.5384 0.5882
Ru -1.3647 -2.3783 0.1287
Cr 0.0000 0.0000 0.0000
Cr -3.6258 -2.9742 1.5665
```

The energy above the most stable polymorph in this dataset is 55 kJ/mol of formula units. The value obtained for the calculated total energy is -8.6088 eV per atom. Its formation energy is 0.41 eV per atom. The space-group type is P4/mbm, No. 127. The size of the total moment comes out at 0.0 μB/f.u.



# CrFeSi2Ru

A relaxed structure of CrFeSi2Ru (PBE, the Alexandria database).

Structure (extended XYZ):
```
5
Lattice="-2.1543 0.3329 3.6968 -0.7516 -4.0722 -0.0713 3.6291 -0.7080 2.1786" Properties=species:S:1:pos:R:3 pbc="T T T"
Si -1.0772 0.1665 1.8484
Si 1.8145 -0.3540 1.0893
Fe -0.3758 -2.0361 -0.0356
Ru 0.3616 -2.2236 2.9021
Cr 0.0000 0.0000 0.0000
```

The energy above the most stable polymorph in this dataset is 0 kJ/mol of formula units. The value obtained for the calculated total energy is -6.6601 eV per atom. The space-group type is P4/mmm, No. 123. The formation energy from raw total energies comes out at 0.981 eV per atom. The size of the total moment comes out at 1.1 μB/f.u.



# CrFeSi2Ru

A relaxed structure of CrFeSi2Ru (PBE, the Alexandria database).

Structure (extended XYZ):
```
5
Lattice="4.3421 0.0000 0.0000 0.0000 4.4399 0.0000 0.0000 0.0000 4.3421" Properties=species:S:1:pos:R:3 pbc="T T T"
Ru 0.0000 2.2199 0.0000
Cr 0.0000 0.0000 0.0000
Fe 2.1710 2.2199 2.1710
Si 2.1710 0.0000 0.0000
Si 0.0000 0.0000 2.1710
```

The energy above the most stable polymorph in this dataset is 9 kJ/mol of formula units. The value obtained for the calculated total energy is -6.6422 eV per atom. The space-group type is P4/mmm, No. 123. The formation energy from raw total energies comes out at 0.999 eV per atom. The size of the total moment comes out at 3.2 μB/f.u.



# CrFeTcRu

A relaxed structure of CrFeTcRu (PBE, the Alexandria database).

Structure (extended XYZ):
```
4
Lattice="4.1991 0.0000 0.0000 2.0995 3.6365 0.0000 2.0995 1.2122 3.4285" Properties=species:S:1:pos:R:3 pbc="T T T"
Tc 2.0995 1.2122 0.8571
Fe 0.0000 0.0000 0.0000
Cr 4.1991 2.4243 1.7143
Ru 6.2986 3.6365 2.5714
```

The value obtained for the calculated total energy is -9.3050 eV per atom. Its formation energy is 0.13 eV per atom. The space-group type is F-43m, No. 216. The size of the total moment comes out at 3.2 μB/f.u.



# V5CrFe2Ru2

A relaxed structure of V5CrFe2Ru2 (PBE, the Alexandria database).

Structure (extended XYZ):
```
20
Lattice="-1.3632 0.5533 -2.6250 -2.4421 -8.9407 -0.6164 -7.9126 1.8511 4.4993" Properties=species:S:1:pos:R:3 pbc="T T T"
Fe -5.3009 0.0049 2.7539
Fe -8.4233 -4.0206 3.5268
Fe -1.9314 -3.0690 0.3561
Fe -5.0538 -7.0945 1.1290
V -7.5614 -3.5046 1.4632
V -4.6379 1.2022 0.9372
V -4.5002 -7.7072 -1.0124
V -1.9027 -4.1937 -1.6207
V -5.9119 -1.4050 1.0492
V -5.8060 -5.1312 0.2087
V -4.1565 -3.0316 -0.2053
V -7.2177 1.1709 2.2703
V -1.6848 -1.3393 -1.1322
V -10.0331 -5.1969 2.3901
Cr -5.1774 -3.5448 1.9414
Cr 0.0000 0.0000 0.0000
Ru -2.9764 -5.6722 0.3500
Ru -7.3258 -6.1857 2.5005
Ru -7.3783 -1.4174 3.5329
Ru -3.0289 -0.9039 1.3824
```

The value obtained for the calculated total energy is -8.9956 eV per atom. Its formation energy is 0.07 eV per atom. The space-group type is P4/mbm, No. 127. The size of the total moment comes out at 0.0 μB/f.u.



# Y2CrFeRu

A relaxed structure of Y2CrFeRu (PBE, the Alexandria database).

Structure (extended XYZ):
```
5
Lattice="-4.0479 -1.7761 3.0307 -1.4297 -2.4827 -3.3645 3.0550 -4.0625 1.6996" Properties=species:S:1:pos:R:3 pbc="T T T"
Y 1.5275 -2.0312 0.8498
Y -2.0239 -0.8880 1.5154
Ru 0.0000 0.0000 0.0000
Cr -1.2113 -4.1606 0.6829
Fe -0.7149 -1.2414 -1.6822
```

The value obtained for the calculated total energy is -7.4184 eV per atom. Its formation energy is 0.64 eV per atom. The space-group type is P4/mmm, No. 123. The size of the total moment comes out at 6.4 μB/f.u.



# YCrFeRu2

A relaxed structure of YCrFeRu2 (PBE, the Alexandria database).

Structure (extended XYZ):
```
5
Lattice="-2.7662 -2.5542 2.8870 -0.4672 -3.4184 -3.4720 3.8280 -2.2377 1.6880" Properties=species:S:1:pos:R:3 pbc="T T T"
Fe 0.2973 -4.1052 0.5515
Ru -1.3831 -1.2771 1.4435
Ru 1.9140 -1.1189 0.8440
Y 0.0000 0.0000 0.0000
Cr -0.2336 -1.7092 -1.7360
```

The value obtained for the calculated total energy is -6.1072 eV per atom. Its formation energy is 2.51 eV per atom. The space-group type is P4/mmm, No. 123. The size of the total moment comes out at 5.2 μB/f.u.



# CrFe3S

A relaxed structure of CrFe3S (PBE, the Alexandria database).

Structure (extended XYZ):
```
5
Lattice="-0.8724 -3.9593 1.3590 3.9349 -1.2493 -1.1136 1.4282 1.0234 3.8983" Properties=species:S:1:pos:R:3 pbc="T T T"
S 2.2453 -2.0926 2.0719
Cr 0.0000 0.0000 0.0000
Fe -0.4362 -1.9796 0.6795
Fe 0.7141 0.5117 1.9492
Fe 1.9674 -0.6246 -0.5568
```

The energy above the most stable polymorph in this dataset is 248 kJ/mol of formula units. The value obtained for the calculated total energy is -6.5343 eV per atom. The space-group type is Pm-3m, No. 221. The formation energy from raw total energies comes out at 1.293 eV per atom. The size of the total moment comes out at 5.1 μB/f.u.



# Cr3FeS

A relaxed structure of Cr3FeS (PBE, the Alexandria database).

Structure (extended XYZ):
```
5
Lattice="4.4204 0.0000 0.0000 0.0000 4.4204 0.0000 0.0000 0.0000 4.4204" Properties=species:S:1:pos:R:3 pbc="T T T"
S 2.2102 2.2102 2.2102
Fe 0.0000 0.0000 0.0000
Cr 0.0000 0.0000 2.2102
Cr 0.0000 2.2102 0.0000
Cr 2.2102 0.0000 0.0000
```

The energy above the most stable polymorph in this dataset is 165 kJ/mol of formula units. The value obtained for the calculated total energy is -7.2051 eV per atom. The space-group type is Pm-3m, No. 221. The formation energy from raw total energies comes out at 1.087 eV per atom. The size of the total moment comes out at 8.4 μB/f.u.



# Cr3FeS

A relaxed structure of Cr3FeS (PBE, the Alexandria database).

Structure (extended XYZ):
```
5
Lattice="4.0765 0.0000 0.0000 0.0000 4.0765 0.0000 0.0000 0.0000 4.0765" Properties=species:S:1:pos:R:3 pbc="T T T"
Cr 0.0000 2.0382 0.0000
Cr 2.0382 0.0000 0.0000
Cr 0.0000 0.0000 2.0382
S 0.0000 0.0000 0.0000
Fe 2.0382 2.0382 2.0382
```

The energy above the most stable polymorph in this dataset is 0 kJ/mol of formula units. The value obtained for the calculated total energy is -7.5471 eV per atom. The space-group type is Pm-3m, No. 221. The formation energy from raw total energies comes out at 0.745 eV per atom. The size of the total moment comes out at 0.0 μB/f.u.



# Cr2FeS

A relaxed structure of Cr2FeS (PBE, the Alexandria database).

Structure (extended XYZ):
```
8
Lattice="-4.3593 1.2375 -3.0655 -0.9465 -5.3281 -0.8049 -5.1550 -2.1330 1.5875" Properties=species:S:1:pos:R:3 pbc="T T T"
Cr -8.5128 -5.2018 -2.1995
Cr -4.1503 -0.4205 -1.6328
Cr -5.8518 -3.1109 -0.2574
Cr -2.4066 -3.7139 -0.4763
Fe -6.0836 -1.4704 -1.7066
Fe 0.0000 0.0000 0.0000
S -2.6529 -2.0453 -1.9352
S -4.3772 -4.7532 -0.5763
```

The value obtained for the calculated total energy is -7.4030 eV per atom. The space-group type is I-42d, No. 122. The formation energy from raw total energies comes out at 0.556 eV per atom. The size of the total moment comes out at 2.0 μB/f.u.



# CrFe3S

A relaxed structure of CrFe3S (PBE, the Alexandria database).

Structure (extended XYZ):
```
5
Lattice="4.0007 0.0000 0.0000 0.0000 4.0007 0.0000 0.0000 0.0000 4.0007" Properties=species:S:1:pos:R:3 pbc="T T T"
Cr 2.0004 2.0004 2.0004
Fe 0.0000 2.0004 0.0000
Fe 2.0004 0.0000 0.0000
Fe 0.0000 0.0000 2.0004
S 0.0000 0.0000 0.0000
```

The energy above the most stable polymorph in this dataset is 0 kJ/mol of formula units. The value obtained for the calculated total energy is -7.0489 eV per atom. The space-group type is Pm-3m, No. 221. The formation energy from raw total energies comes out at 0.779 eV per atom. The size of the total moment comes out at 0.0 μB/f.u.



# Cr2FeSeS3

A relaxed structure of Cr2FeSeS3 (PBE, the Alexandria database).

Structure (extended XYZ):
```
14
Lattice="6.5636 -2.5204 -1.3355 -0.0543 -3.4465 6.2719 -5.2836 -1.0802 -4.7047" Properties=species:S:1:pos:R:3 pbc="T T T"
Cr 3.5415 -3.8559 0.9253
Cr 3.5514 -2.1957 -2.1675
Cr -2.3849 -3.1278 -0.7460
Cr 0.9748 -4.3806 -1.4110
Se 5.1565 -5.3089 2.2294
Se -0.7409 -4.6623 0.4213
S 2.6019 -4.1725 -3.1893
S 2.1134 -4.0788 2.8793
S 1.9969 -2.4704 -0.3341
S 2.5923 -5.7531 -0.2501
S -0.7431 -3.1008 -2.5380
S 5.0439 -3.6741 -0.9699
Fe -0.0991 -4.6190 2.7325
Fe 0.7716 -0.7073 0.5852
```

The energy above the most stable polymorph in this dataset is 36 kJ/mol of formula units. The value obtained for the calculated total energy is -6.7289 eV per atom. The space-group type is Imm2, No. 44. The formation energy from raw total energies comes out at -0.504 eV per atom. The size of the total moment comes out at 9.8 μB/f.u.



# Cr2FeSeS3

A relaxed structure of Cr2FeSeS3 (PBE, the Alexandria database).

Structure (extended XYZ):
```
7
Lattice="-5.7811 -0.8957 2.5921 -3.8779 -3.4127 3.7760 -0.6959 2.0302 5.4345" Properties=species:S:1:pos:R:3 pbc="T T T"
S -8.9308 -2.9623 8.0591
S -4.1527 0.4446 7.6208
S -1.4900 0.6501 3.7773
Se -6.1566 -2.6890 4.1805
Cr -3.0464 0.2351 5.3969
Cr -7.3859 -2.5578 6.4355
Fe -9.5612 -4.2637 6.3058
```

The energy above the most stable polymorph in this dataset is 0 kJ/mol of formula units. The value obtained for the calculated total energy is -6.7821 eV per atom. The space-group type is Cm, No. 8. The formation energy from raw total energies comes out at -0.557 eV per atom. The size of the total moment comes out at 2.1 μB/f.u.